1.
# AcCd6Ag | the Alexandria database | PBE | optimized geometry
data_AcCd6Ag
_symmetry_space_group_name_H-M 'P 1'
_symmetry_Int_Tables_number 1
_cell_length_a 4.878
_cell_length_b 4.878
_cell_length_c 10.035
_cell_angle_alpha 75.93
_cell_angle_beta 75.93
_cell_angle_gamma 60.00
loop_
_symmetry_equiv_pos_as_xyz
'x,y,z'
loop_
_atom_site_label
_atom_site_fract_x
_atom_site_fract_y
_atom_site_fract_z
Cd1 0.366 0.366 0.903
Cd2 0.100 0.100 0.700
Cd3 0.748 0.748 0.756
Cd4 0.900 0.900 0.300
Cd5 0.634 0.634 0.097
Cd6 0.252 0.252 0.244
Ag1 0.000 0.000 0.000
Ac1 0.500 0.500 0.500
# Total magnetization (μB per cell): 0.0
# Space group: No. 166
# Energy above the most stable polymorph in this dataset (meV per atom): 0

---

2.
# Ac3Cd2Ag7 | the Alexandria database | PBE | optimized geometry
data_Ac3Cd2Ag7
_symmetry_space_group_name_H-M 'P 1'
_symmetry_Int_Tables_number 1
_cell_length_a 4.562
_cell_length_b 5.083
_cell_length_c 13.905
_cell_angle_alpha 98.06
_cell_angle_beta 90.00
_cell_angle_gamma 90.00
loop_
_symmetry_equiv_pos_as_xyz
'x,y,z'
loop_
_atom_site_label
_atom_site_fract_x
_atom_site_fract_y
_atom_site_fract_z
Ag1 0.500 0.264 0.539
Ag2 0.000 0.719 0.161
Ag3 0.500 0.736 0.461
Ag4 0.500 0.929 0.840
Ag5 0.000 0.281 0.839
Ag6 0.000 0.000 0.000
Ag7 0.500 0.071 0.160
Ac1 0.000 0.180 0.357
Ac2 0.500 0.500 0.000
Ac3 0.000 0.820 0.643
Cd1 0.500 0.403 0.737
Cd2 0.500 0.597 0.263
# Energy (Ha/atom): -0.1113
# Total magnetization (μB per cell): 0.0
# Space group: No. 10

---

Look up the total magnetization of the second one.
0.0 μB per cell